Record 1
Density functional theory data (PBE) for a geometry-optimized Li2Mg2Al2CuPt structure.

electronic total energy = -3.494 eV per atom

Lattice parameters (Å, degrees): 4.381 4.381 6.199 90.00 90.00 90.00
Sites, in units of the cell vectors:
Li 0.000 0.000 0.000
Li 0.500 0.500 0.500
Mg 0.000 0.500 0.247
Mg 0.500 0.000 0.753
Al 0.000 0.500 0.744
Al 0.500 0.000 0.256
Cu 0.500 0.500 0.000
Pt 0.000 0.000 0.500

***

Record 2
Density functional theory data (PBE) for a geometry-optimized Li2MgScAl2Cu2 structure.

electronic total energy = -3.461 eV per atom

Lattice parameters (Å, degrees): 4.407 4.407 6.314 90.00 90.00 90.00
Sites, in units of the cell vectors:
Li 0.000 0.500 0.239
Li 0.500 0.000 0.761
Mg 0.500 0.500 0.000
Sc 0.000 0.000 0.500
Al 0.000 0.500 0.755
Al 0.500 0.000 0.245
Cu 0.000 0.000 0.000
Cu 0.500 0.500 0.500

***

Record 3
Density functional theory data (PBE) for a geometry-optimized LiAlCuMo structure.

electronic total energy = -4.843 eV per atom

Lattice parameters (Å, degrees): 4.255 4.255 4.255 60.00 60.00 60.00
Sites, in units of the cell vectors:
Li 0.000 0.000 0.000
Al 0.500 0.500 0.500
Cu 0.750 0.750 0.750
Mo 0.250 0.250 0.250

***

Record 4
Density functional theory data (PBE) for a geometry-optimized LiAlCuMo structure.

electronic total energy = -4.826 eV per atom

Lattice parameters (Å, degrees): 4.261 4.261 4.261 60.00 60.00 60.00
Sites, in units of the cell vectors:
Li 0.000 0.000 0.000
Al 0.250 0.250 0.250
Cu 0.500 0.500 0.500
Mo 0.750 0.750 0.750

***

Record 5
Density functional theory data (PBE) for a geometry-optimized Li2Al2CuNiPt2 structure.

electronic total energy = -4.758 eV per atom

Lattice parameters (Å, degrees): 4.187 4.187 5.890 90.00 90.00 90.00
Sites, in units of the cell vectors:
Li 0.000 0.500 0.249
Li 0.500 0.000 0.751
Al 0.000 0.500 0.757
Al 0.500 0.000 0.243
Cu 0.000 0.000 0.500
Ni 0.500 0.500 0.000
Pt 0.000 0.000 0.000
Pt 0.500 0.500 0.500

***

Record 6
Density functional theory data (PBE) for a geometry-optimized Li2Sc2Al2CuNi structure.

electronic total energy = -4.563 eV per atom

Lattice parameters (Å, degrees): 4.383 4.383 6.219 90.00 90.00 90.00
Sites, in units of the cell vectors:
Li 0.000 0.000 0.000
Li 0.500 0.500 0.500
Sc 0.000 0.500 0.243
Sc 0.500 0.000 0.757
Al 0.000 0.500 0.755
Al 0.500 0.000 0.245
Cu 0.000 0.000 0.500
Ni 0.500 0.500 0.000

***

Record 7
Density functional theory data (PBE) for a geometry-optimized LiZr2Al2CuNi2 structure.

electronic total energy = -5.655 eV per atom

Lattice parameters (Å, degrees): 4.349 4.349 6.180 90.00 90.00 90.00
Sites, in units of the cell vectors:
Li 0.000 0.000 0.000
Zr 0.000 0.500 0.753
Zr 0.500 0.000 0.247
Al 0.000 0.500 0.254
Al 0.500 0.000 0.746
Cu 0.500 0.500 0.500
Ni 0.000 0.000 0.500
Ni 0.500 0.500 0.000

***

Record 8
Density functional theory data (PBE) for a geometry-optimized LiAlCuOs structure.

electronic total energy = -5.194 eV per atom

Lattice parameters (Å, degrees): 4.151 4.151 4.151 60.00 60.00 60.00
Sites, in units of the cell vectors:
Li 0.000 0.000 0.000
Al 0.500 0.500 0.500
Cu 0.750 0.750 0.750
Os 0.250 0.250 0.250

***

Record 9
Density functional theory data (PBE) for a geometry-optimized LiAlCuOs structure.

electronic total energy = -4.988 eV per atom

Lattice parameters (Å, degrees): 4.160 4.160 4.160 60.00 60.00 60.00
Sites, in units of the cell vectors:
Li 0.000 0.000 0.000
Al 0.250 0.250 0.250
Cu 0.500 0.500 0.500
Os 0.750 0.750 0.750

***

Record 10
Density functional theory data (PBE) for a geometry-optimized Li4AlCu2Pb structure.

electronic total energy = -3.008 eV per atom

Lattice parameters (Å, degrees): 4.332 4.332 6.291 90.00 90.00 90.00
Sites, in units of the cell vectors:
Li 0.000 0.000 0.000
Li 0.000 0.500 0.732
Li 0.500 0.000 0.268
Li 0.500 0.500 0.500
Al 0.000 0.000 0.500
Cu 0.000 0.500 0.279
Cu 0.500 0.000 0.721
Pb 0.500 0.500 0.000

***

Record 11
Density functional theory data (PBE) for a geometry-optimized Li4Al2CuPd structure.

electronic total energy = -3.358 eV per atom

Lattice parameters (Å, degrees): 4.262 4.262 6.015 90.00 90.00 90.00
Sites, in units of the cell vectors:
Li 0.000 0.000 0.000
Li 0.000 0.500 0.745
Li 0.500 0.000 0.255
Li 0.500 0.500 0.500
Al 0.000 0.500 0.248
Al 0.500 0.000 0.752
Cu 0.000 0.000 0.500
Pd 0.500 0.500 0.000

***

Record 12
Density functional theory data (PBE) for a geometry-optimized Li4AlCuPd2 structure.

electronic total energy = -3.595 eV per atom

Lattice parameters (Å, degrees): 4.265 4.265 6.001 90.00 90.00 90.00
Sites, in units of the cell vectors:
Li 0.000 0.000 0.000
Li 0.000 0.500 0.233
Li 0.500 0.000 0.767
Li 0.500 0.500 0.500
Al 0.000 0.000 0.500
Cu 0.500 0.500 0.000
Pd 0.000 0.500 0.738
Pd 0.500 0.000 0.262